No. 1
SrBe2In after structural relaxation. Source: Alexandria, functional PBE.

Cell: 4.090 4.090 6.405 Å, 71.29 71.29 60.03°
Positions (direct):
Be: 0.727 0.727 0.820
Be: 0.059 0.059 0.824
Sr: 0.261 0.261 0.218
In: 0.454 0.454 0.638

Calculated values
E_form	102	meV per atom
uncorrected energy	-2.8659	eV/atom



No. 2
LiScMo2 after structural relaxation. Source: Alexandria, functional PBE.

Cell: 4.513 4.513 4.513 Å, 119.91 119.88 90.18°
Positions (direct):
Li: 0.250 0.750 0.500
Mo: 0.000 0.000 0.000
Mo: 0.750 0.250 0.500
Sc: 0.500 0.500 0.000

Calculated values
E_form	186	meV per atom
ΔE to the lowest computed polymorph	0.01	eV per formula unit
uncorrected energy	-7.2906	eV/atom



No. 3
AlHPd3 after structural relaxation. Source: Alexandria, functional PBE.

Cell: 4.004 4.004 10.480 Å, 90.00 90.00 120.00°
Positions (direct):
Pd: 0.667 0.333 0.085
Pd: 0.000 0.000 0.750
Pd: 0.667 0.333 0.415
Pd: 0.000 0.000 0.250
Pd: 0.333 0.667 0.585
Pd: 0.333 0.667 0.915
H: 0.667 0.333 0.250
H: 0.333 0.667 0.750
Al: 0.000 0.000 0.000
Al: 0.000 0.000 0.500

Calculated values
ΔE to the lowest computed polymorph	1.19	eV per formula unit
uncorrected energy	-4.8518	eV/atom



No. 4
ThNi6Sn6 after structural relaxation. Source: Alexandria, functional PBE.

Cell: 5.522 7.007 7.007 Å, 77.28 66.80 66.80°
Positions (direct):
Ni: 0.500 0.500 0.000
Ni: 0.000 0.500 0.000
Ni: 0.000 0.000 0.500
Ni: 0.500 0.000 0.500
Ni: 0.500 0.246 0.754
Ni: 0.500 0.754 0.246
Th: 0.000 0.000 0.000
Sn: 0.327 0.173 0.173
Sn: 0.673 0.827 0.827
Sn: 0.000 0.341 0.659
Sn: 0.660 0.340 0.340
Sn: 0.000 0.659 0.341
Sn: 0.340 0.660 0.660

Calculated values
E_form	-254	meV per atom
uncorrected energy	-5.3405	eV/atom



No. 5
Ge2HPt8 after structural relaxation. Source: Alexandria, functional PBE.

Cell: 3.866 5.709 7.566 Å, 89.64 104.75 89.96°
Positions (direct):
Pt: 0.785 0.717 0.567
Pt: 0.400 0.493 0.798
Pt: 0.996 0.754 0.992
Pt: 0.380 0.981 0.759
Pt: 0.620 0.019 0.241
Pt: 0.215 0.283 0.433
Pt: 0.600 0.507 0.202
Pt: 0.004 0.246 0.008
Ge: 0.828 0.253 0.656
Ge: 0.172 0.747 0.344
H: 0.500 0.000 0.000

Calculated values
uncorrected energy	-5.7079	eV/atom



No. 6
Tb3PmPt after structural relaxation. Source: Alexandria, functional PBE.

Cell: 5.135 6.527 8.741 Å, 96.50 90.00 90.00°
Positions (direct):
Tb: 0.876 0.461 0.508
Tb: 0.876 0.505 0.932
Tb: 0.376 0.848 0.970
Tb: 0.376 0.892 0.393
Tb: 0.876 0.944 0.704
Tb: 0.376 0.408 0.197
Pm: 0.876 0.071 0.163
Pm: 0.376 0.282 0.739
Pt: 0.376 0.704 0.659
Pt: 0.876 0.648 0.242

Calculated values
E_form	-458	meV per atom
uncorrected energy	-5.3943	eV/atom



No. 7
RbNaMg3 after structural relaxation. Source: Alexandria, functional PBE.

Cell: 5.920 5.920 5.920 Å, 90.00 90.00 90.00°
Positions (direct):
Mg: 0.500 0.000 0.000
Mg: 0.000 0.500 0.000
Mg: 0.000 0.000 0.500
Rb: 0.500 0.500 0.500
Na: 0.000 0.000 0.000

Calculated values
E_form	449	meV per atom
ΔE to the lowest computed polymorph	0.00	eV per formula unit
uncorrected energy	-0.9655	eV/atom



No. 8
Na4U3AlN8 after structural relaxation. Source: Alexandria, functional PBE.

Cell: 6.780 6.878 6.788 Å, 119.54 119.96 90.00°
Site moments in Bohr magnetons follow the coordinates.
Positions (direct):
U: 0.000 0.500 0.500  0.39
U: 0.500 0.500 0.000  0.39
U: 0.500 0.500 0.500  0.39
Na: 0.500 0.000 0.000  0.00
Na: 0.500 0.000 0.500  0.00
Na: 0.000 0.000 0.000  0.00
Na: 0.000 0.000 0.500  0.00
N: 0.772 0.318 0.046  -0.02
N: 0.229 0.683 0.458  -0.02
N: 0.728 0.686 0.457  -0.02
N: 0.726 0.682 0.954  -0.02
N: 0.228 0.682 0.954  -0.02
N: 0.274 0.318 0.046  -0.02
N: 0.272 0.314 0.543  -0.02
N: 0.771 0.317 0.542  -0.02
Al: 0.000 0.500 0.000  0.00

Calculated values
uncorrected energy	-7.7400	eV/atom



No. 9
ThGa2Pd5 after structural relaxation. Source: Alexandria, functional PBE.

Cell: 3.916 6.510 6.510 Å, 66.67 72.49 72.49°
Positions (direct):
Pd: 0.360 0.440 0.840
Pd: 0.000 0.500 0.500
Pd: 0.360 0.840 0.440
Pd: 0.640 0.560 0.160
Pd: 0.640 0.160 0.560
Ga: 0.243 0.257 0.257
Ga: 0.757 0.743 0.743
Th: 0.000 0.000 0.000

Calculated values
E_form	-685	meV per atom
uncorrected energy	-5.6143	eV/atom



No. 10
RbNi2Sn after structural relaxation. Source: Alexandria, functional PBE.

Cell: 7.825 7.825 6.619 Å, 53.77 53.77 90.00°
Positions (direct):
Sn: 0.000 0.000 0.000
Sn: 0.750 0.250 0.500
Ni: 0.375 0.276 0.750
Ni: 0.875 0.974 0.750
Ni: 0.724 0.125 0.250
Ni: 0.026 0.625 0.250
Rb: 0.250 0.750 0.500
Rb: 0.500 0.500 0.000

Calculated values
E_form	619	meV per atom
uncorrected energy	-3.5140	eV/atom



No. 11
Tl2SiW after structural relaxation. Source: Alexandria, functional PBE.

Cell: 2.902 2.902 10.303 Å, 90.00 90.00 90.00°
Positions (direct):
Si: 0.500 0.500 0.750
Tl: 0.000 0.000 0.487
Tl: 0.000 0.000 0.013
W: 0.500 0.500 0.250

Calculated values
ΔE to the lowest computed polymorph	2.40	eV per formula unit
uncorrected energy	-4.7183	eV/atom



No. 12
GdVGa2 after structural relaxation. Source: Alexandria, functional PBE.

Cell: 3.458 3.458 8.163 Å, 77.77 77.77 60.00°
Site moments in Bohr magnetons follow the coordinates.
Positions (direct):
Gd: 0.500 0.500 0.500  7.14
Ga: 0.262 0.262 0.213  -0.03
Ga: 0.738 0.738 0.787  -0.03
V: 0.000 0.000 0.000  -1.49

Calculated values
E_form	-31	meV per atom
uncorrected energy	-7.3441	eV/atom



No. 13
HoSI after structural relaxation. Source: Alexandria, functional PBE.

Cell: 4.139 4.139 7.252 Å, 90.00 90.00 120.00°
Positions (direct):
S: 0.333 0.667 0.533
Ho: 0.667 0.333 0.377
I: 0.000 0.000 0.090

Calculated values
ΔE to the lowest computed polymorph	0.23	eV per formula unit
uncorrected energy	-5.1537	eV/atom



No. 14
KY3Os after structural relaxation. Source: Alexandria, functional PBE.

Cell: 5.549 5.549 5.549 Å, 90.00 90.00 90.00°
Positions (direct):
Y: 0.000 0.000 0.500
Y: 0.500 0.000 0.000
Y: 0.000 0.500 0.000
Os: 0.000 0.000 0.000
K: 0.500 0.500 0.500

Calculated values
E_form	70	meV per atom
ΔE to the lowest computed polymorph	0.00	eV per formula unit
uncorrected energy	-6.2734	eV/atom



No. 15
LiTe2Pt after structural relaxation. Source: Alexandria, functional PBE.

Cell: 4.982 4.982 4.982 Å, 60.00 60.00 60.00°
Positions (direct):
Pt: 0.750 0.750 0.750
Li: 0.500 0.500 0.500
Te: 0.000 0.000 0.000
Te: 0.250 0.250 0.250

Calculated values
uncorrected energy	-3.4414	eV/atom



No. 16
Hg2P after structural relaxation. Source: Alexandria, functional PBE.

Cell: 5.077 5.077 5.077 Å, 134.12 133.81 67.15°
Positions (direct):
Hg: 0.667 0.667 0.000
Hg: 0.333 0.333 0.000
P: 0.000 0.000 0.000

Calculated values
E_form	526	meV per atom
ΔE to the lowest computed polymorph	1.32	eV per formula unit
uncorrected energy	-1.4782	eV/atom



No. 17
PmInTe2O8 after structural relaxation. Source: Alexandria, functional PBE.

Cell: 6.247 6.247 6.247 Å, 108.31 108.31 111.82°
Positions (direct):
Te: 0.500 0.500 0.000
Te: 0.750 0.250 0.500
O: 0.296 0.494 0.198
O: 0.750 0.067 0.683
O: 0.506 0.704 0.802
O: 0.933 0.250 0.317
O: 0.901 0.704 0.198
O: 0.296 0.099 0.802
O: 0.383 0.067 0.317
O: 0.933 0.617 0.683
Pm: 0.000 0.000 0.000
In: 0.250 0.750 0.500

Calculated values
uncorrected energy	-5.8936	eV/atom



No. 18
Tb2YHg after structural relaxation. Source: Alexandria, functional PBE.

Cell: 3.664 3.664 10.709 Å, 80.15 80.15 60.00°
Site moments in Bohr magnetons follow the coordinates.
Positions (direct):
Y: 0.500 0.500 0.500  0.11
Hg: 0.666 0.666 0.001  0.00
Tb: 0.076 0.076 0.772  0.08
Tb: 0.257 0.257 0.228  0.03

Calculated values
E_form	-157	meV per atom
ΔE to the lowest computed polymorph	0.27	eV per formula unit
uncorrected energy	-4.1638	eV/atom



No. 19
ReW2Cl after structural relaxation. Source: Alexandria, functional PBE.

Cell: 2.819 2.819 9.070 Å, 90.00 90.00 112.47°
Positions (direct):
Cl: 0.000 0.000 0.475
W: 0.000 0.000 0.003
W: 0.500 0.500 0.248
Re: 0.500 0.500 0.774

Calculated values
ΔE to the lowest computed polymorph	0.61	eV per formula unit
uncorrected energy	-9.4947	eV/atom



No. 20
Ce3Sm4HoSe8 after structural relaxation. Source: Alexandria, functional PBE.

Cell: 8.340 8.337 8.340 Å, 120.01 120.00 90.00°
Site moments in Bohr magnetons follow the coordinates.
Positions (direct):
Se: 0.246 0.747 0.492  -0.01
Se: 0.751 0.753 0.502  -0.01
Se: 0.754 0.253 0.508  -0.01
Se: 0.754 0.252 0.998  -0.01
Se: 0.249 0.247 0.498  -0.01
Se: 0.245 0.252 0.998  -0.01
Se: 0.246 0.748 0.002  -0.01
Se: 0.755 0.748 0.002  -0.01
Ce: 0.500 0.500 0.500  0.75
Ce: 0.500 0.500 0.000  0.75
Ce: 0.000 0.500 0.500  0.75
Sm: 0.500 0.000 0.500  0.00
Sm: 0.000 0.000 0.000  0.00
Sm: 0.000 0.000 0.500  0.00
Sm: 0.500 0.000 0.000  0.02
Ho: 0.000 0.500 0.000  0.03

Calculated values
uncorrected energy	-6.1343	eV/atom